No. 1
# AcGaAu

A relaxed structure of AcGaAu (GGA-PBE, Alexandria).

The structure in POSCAR format:
```
AcGaAu
1.0
4.5986 1.9113 2.3495
1.1061 4.8556 2.3495
1.1061 1.3120 5.2321
Ac Ga Au
1 1 1
Direct
0.2078 0.2078 0.2078 Ac
0.7013 0.7013 0.7013 Ga
0.4210 0.4210 0.4210 Au
```

Computed properties:
Density = 9.39 g/cm3
Excess energy over the best structure of this formula in the dataset = 0.173 eV/atom
Formation energy from the elements = -593 meV/atom

---

No. 2
# ReAsO2

A relaxed structure of ReAsO2 (GGA-PBE, Alexandria).

The structure in POSCAR format:
```
ReAsO2
1.0
6.0115 0.0000 0.0000
0.0000 6.0115 0.0000
3.0058 3.0058 4.2471
O Re As
4 2 2
Direct
0.3750 0.1249 0.7500 O
0.8751 0.1250 0.2500 O
0.8750 0.1251 0.7500 O
0.8749 0.6250 0.2500 O
0.0000 0.0000 0.0000 Re
0.7500 0.2500 0.5000 Re
0.5000 0.5000 0.0000 As
0.2500 0.7500 0.5000 As
```

Computed properties:
Density = 6.34 g/cm3
E_form (uncorrected) = -90 meV/atom